Record 1
A relaxed KMgAs3 crystal. Source: Alexandria via LeMat-Bulk, functional PBE.

As for the calculated formation energy: 1321.9 meV per atom. The value obtained for the energy above the most stable polymorph in this dataset is 543.5 kJ/mol of formula units. Its density of states at the Fermi level is 3.6 states/eV/cell. The crystal system is cubic. Its electronic total energy is -10.03 eV per cell. The calculation puts the calculated density at 2.99 g/cm3. Its total moment is 0.000 μB per atom.

The structure belongs to space group Pm-3m (No. 221); the cell edges are 5.4274, 5.4274 and 5.4274 Å and the angles 90.00°, 90.00° and 90.00°. The distinct sites, in fractional coordinates, are K at (0.0000, 0.0000, 0.0000), Mg at (0.5000, 0.5000, 0.5000) and As at (0.0000, 0.0000, 0.5000).

***

Record 2
A relaxed Pr5Al2Ga2 crystal. Source: Alexandria via LeMat-Bulk, functional PBE.

As for the calculated formation energy: -358.6 meV per atom. Its density of states at the Fermi level is 38.2 states/eV/cell. The crystal system is orthorhombic. Its electronic total energy is -162.65 eV per cell. The calculation puts the calculated density at 5.72 g/cm3. Its total moment is 0.000 μB per atom.

The structure belongs to space group Cmce (No. 64); the cell edges are 16.1275, 8.0708 and 8.0156 Å and the angles 90.00°, 90.00° and 90.00°. The distinct sites, in fractional coordinates, are Pr at (0.0000, 0.0000, 0.0000), Pr at (0.1432, 0.1875, 0.3233), Al at (0.0000, 0.1135, 0.6141) and Ga at (0.2100, 0.0000, 0.0000).

***

Record 3
A relaxed Sr3Ac3AuO8 crystal. Source: Alexandria via LeMat-Bulk, functional PBE.

The crystal system is monoclinic. Its electronic total energy is -194.51 eV per cell. Its uncorrected formation energy is -36.9 eV/f.u. The calculation puts the calculated density at 7.37 g/cm3. Its total moment is 0.000 μB per atom.

The structure belongs to space group C2/m (No. 12); the cell edges are 12.4962, 7.5982 and 7.4733 Å and the angles 90.00°, 126.36° and 90.00°. The distinct sites, in fractional coordinates, are Sr at (0.0000, 0.0000, 0.0000), Sr at (0.2500, 0.2500, 0.5000), Ac at (0.0000, 0.5000, 0.5000), Ac at (0.2500, 0.2500, 0.0000), Au at (0.0000, 0.0000, 0.5000), O at (0.0063, 0.2765, 0.7627), O at (0.2189, 0.0000, 0.7298) and O at (0.2475, 0.0000, 0.2440).

***

Record 4
A relaxed LiDyAg6 crystal. Source: Alexandria via LeMat-Bulk, functional PBE.

As for the calculated formation energy: -20.9 meV per atom. The value obtained for the energy above the most stable polymorph in this dataset is 112.5 kJ/mol of formula units. Its density of states at the Fermi level is 5.6 states/eV/cell. The crystal system is monoclinic. Its electronic total energy is -47.58 eV per cell. The calculation puts the calculated density at 7.94 g/cm3. Its total moment is 0.000 μB per atom.

The structure belongs to space group C2/m (No. 12); the cell edges are 8.5561, 5.6209 and 7.3523 Å and the angles 90.00°, 104.99° and 90.00°. The distinct sites, in fractional coordinates, are Li at (0.0000, 0.0000, 0.0000), Dy at (0.0000, 0.5000, 0.5000), Ag at (0.1330, 0.0000, 0.4317) and Ag at (0.2249, 0.2402, 0.8079).

***

Record 5
A relaxed SmTl2InBr6 crystal. Source: Alexandria via LeMat-Bulk, functional PBE.

Its density of states at the Fermi level is 0.0 states/eV/cell. The crystal system is triclinic. Its electronic total energy is -34.60 eV per cell. Its uncorrected formation energy is -12.4 eV/f.u. The calculation puts the calculated density at 4.69 g/cm3. Its total moment is 0.000 μB per atom.

The structure belongs to space group P1 (No. 1); the cell edges are 8.1851, 8.1936 and 8.4704 Å and the angles 61.14°, 61.12° and 60.04°. The distinct sites, in fractional coordinates, are Sm at (0.0000, 0.0000, 0.0000), Tl at (0.2054, 0.2054, 0.3830), Tl at (0.6965, 0.6958, 0.9112), In at (0.4914, 0.4908, 0.5266), Br at (0.1094, 0.3500, 0.7420), Br at (0.2454, 0.8778, 0.2167), Br at (0.3501, 0.7992, 0.7414), Br at (0.6601, 0.2451, 0.2166), Br at (0.7982, 0.1090, 0.7421) and Br at (0.8780, 0.6603, 0.2169).

***

Record 6
A relaxed PrErRh crystal. Source: Alexandria via LeMat-Bulk, functional PBE.

As for the calculated formation energy: -489.0 meV per atom. The value obtained for the energy above the most stable polymorph in this dataset is 28.2 kJ/mol of formula units. Its density of states at the Fermi level is 7.3 states/eV/cell. The crystal system is tetragonal. Its electronic total energy is -36.32 eV per cell. The calculation puts the calculated density at 8.71 g/cm3. Its total moment is 0.000 μB per atom.

The structure belongs to space group I4mm (No. 107); the cell edges are 3.5027, 3.5027 and 12.7719 Å and the angles 90.00°, 90.00° and 90.00°. The distinct sites, in fractional coordinates, are Pr at (0.0000, 0.0000, 0.0000), Er at (0.0000, 0.0000, 0.2622) and Rh at (0.0000, 0.0000, 0.6472).

***

Record 7
A relaxed Ac8GePb4Se3 crystal. Source: Alexandria via LeMat-Bulk, functional PBE.

Its density of states at the Fermi level is 20.3 states/eV/cell. The crystal system is monoclinic. Its electronic total energy is -158.62 eV per cell. Its uncorrected formation energy is -16.5 eV/f.u. The calculation puts the calculated density at 8.35 g/cm3. Its total moment is 0.000 μB per atom.

The structure belongs to space group C2/m (No. 12); the cell edges are 16.0596, 9.2550 and 9.5493 Å and the angles 90.00°, 124.16° and 90.00°. The distinct sites, in fractional coordinates, are Ac at (0.0046, 0.2461, 0.2680), Ac at (0.2414, 0.0000, 0.7319), Ac at (0.2467, 0.5000, 0.7395), Ge at (0.0000, 0.0000, 0.5000), Pb at (0.0000, 0.0000, 0.0000), Pb at (0.0000, 0.5000, 0.0000), Pb at (0.2500, 0.2500, 0.0000), Se at (0.0000, 0.5000, 0.5000) and Se at (0.2500, 0.2500, 0.5000).

***

Record 8
A relaxed GaAgN2 crystal. Source: Alexandria via LeMat-Bulk, functional PBE.

Its density of states at the Fermi level is 8.8 states/eV/cell. The crystal system is trigonal. Its electronic total energy is -57.81 eV per cell. Its uncorrected formation energy is 3.3 eV/f.u. The calculation puts the calculated density at 6.79 g/cm3. Its total moment is 0.000 μB per atom.

The structure belongs to space group R-3m (No. 166, hexagonal axes); the cell edges are 3.0475, 3.0475 and 18.7682 Å and the angles 90.00°, 90.00° and 120.00°. The distinct sites, in fractional coordinates, are Ga at (0.0000, 0.0000, 0.0000), Ag at (0.0000, 0.0000, 0.5000) and N at (0.0000, 0.0000, 0.3908).

***

Record 9
A relaxed ErSc2HgO crystal. Source: Alexandria via LeMat-Bulk, functional PBE.

Its density of states at the Fermi level is 2.6 states/eV/cell. The crystal system is tetragonal. Its electronic total energy is -29.72 eV per cell. Its uncorrected formation energy is -7.2 eV/f.u. The calculation puts the calculated density at 8.45 g/cm3. Its total moment is 0.000 μB per atom.

The structure belongs to space group P4/mmm (No. 123); the cell edges are 4.4744, 4.4744 and 4.6491 Å and the angles 90.00°, 90.00° and 90.00°. The distinct sites, in fractional coordinates, are Er at (0.0000, 0.0000, 0.0000), Sc at (0.0000, 0.5000, 0.5000), Hg at (0.5000, 0.5000, 0.0000) and O at (0.0000, 0.0000, 0.5000).

***

Record 10
A relaxed ZrInBr2 crystal. Source: Alexandria via LeMat-Bulk, functional PBE.

The value obtained for the energy above the most stable polymorph in this dataset is 33.7 kJ/mol of formula units. Its density of states at the Fermi level is 3.6 states/eV/cell. The crystal system is orthorhombic. Its electronic total energy is -34.65 eV per cell. Its uncorrected formation energy is -2.7 eV/f.u. The calculation puts the calculated density at 4.61 g/cm3. Its total moment is 0.000 μB per atom.

The structure belongs to space group Immm (No. 71); the cell edges are 3.3210, 5.5401 and 14.3266 Å and the angles 90.00°, 90.00° and 90.00°. The distinct sites, in fractional coordinates, are Zr at (0.0000, 0.0000, 0.0000), In at (0.0000, 0.0000, 0.5000) and Br at (0.0000, 0.5000, 0.3457).